# RuRhPb4 (PBE, optimized geometry)
# * E: -4.094 eV/atom
# * DFT formation energy: 6.90 eV/f.u.
# * D(E_F): 9.0 states/eV/cell
# * total magnetization: 0.428 μB per atom
data_RuRhPb4
_chemical_formula_sum 'Ru1 Rh1 Pb4'
_symmetry_space_group_name_H-M 'P 1'
_symmetry_Int_Tables_number 1
_cell_length_a 6.133
_cell_length_b 6.133
_cell_length_c 6.133
_cell_angle_alpha 60.00
_cell_angle_beta 60.00
_cell_angle_gamma 60.00
loop_
_symmetry_equiv_pos_as_xyz
'x,y,z'
loop_
_atom_site_label
_atom_site_fract_x
_atom_site_fract_y
_atom_site_fract_z
Pb1 0.875 0.375 0.375
Pb2 0.375 0.375 0.375
Pb3 0.375 0.375 0.875
Ru1 0.000 0.000 0.000
Rh1 0.750 0.750 0.750
Pb4 0.375 0.875 0.375